# Hf2ZrPd

An optimized crystal structure of Hf2ZrPd (PBE, Alexandria).

a = 4.817 Å, b = 4.817 Å, c = 4.817 Å
α = 60.00°, β = 60.00°, γ = 60.00°
Positions (direct):
Hf1 0.250 0.250 0.250
Hf2 0.750 0.750 0.750
Zr1 0.000 0.000 0.000
Pd1 0.500 0.500 0.500

Output
As for the offset from the most stable computed form: 0.862 eV per formula unit. For the size of the total moment, the calculation gives 0.0000 μB per atom. Its total energy is -8.560 eV/atom. The space group is Fm-3m (225). Its energy of formation from the pure elements is -0.148 eV per atom. The density of states at the Fermi level is 5.9 states/eV per cell.